A plane-wave DFT calculation with PBE was carried out for crystalline Pt3Br5 at its relaxed geometry.

Geometry as CIF:
```
data_Pt3Br5
_chemical_formula_sum 'Pt3 Br5'
_cell_length_a 7.773
_cell_length_b 7.773
_cell_length_c 3.536
_cell_angle_alpha 90.00
_cell_angle_beta 90.00
_cell_angle_gamma 117.43
_symmetry_space_group_name_H-M 'P 1'
_symmetry_Int_Tables_number 1
loop_
_symmetry_equiv_pos_as_xyz
'x,y,z'
loop_
_atom_site_label
_atom_site_type_symbol
_atom_site_fract_x
_atom_site_fract_y
_atom_site_fract_z
_atom_site_occupancy
Br1 Br 0.000 0.500 0.000 1
Br2 Br 0.717 0.717 0.500 1
Pt1 Pt 0.500 0.500 0.000 1
Pt2 Pt 0.682 0.318 0.500 1
Pt3 Pt 0.318 0.682 0.500 1
Br3 Br 0.283 0.283 0.500 1
Br4 Br 0.000 0.000 0.000 1
Br5 Br 0.500 0.000 0.000 1
```

**Volume**: 23.70 Å³/atom
**Total magnetization**: 0.0000 μB per atom
**Energy relative to the elements, uncorrected**: 0.389 eV/atom